(1)
YAg2Au9 after structural relaxation, computed with PBE.

Cell lengths 5.4900, 5.4900, 9.8197 Å; angles 73.77, 73.77, 60.00 degrees
With the nearest neighbours (Å) after each atom.
Fractional coordinates of all 12 atoms:
Y 0.0000 0.0000 0.0000  6 Au 3.17
Ag 0.8499 0.8499 0.4504  12 Au 3.14-3.28, 3 Ag 3.30
Ag 0.1501 0.1501 0.5496  12 Au 3.14-3.28, 3 Ag 3.30
Au 0.6669 0.6669 0.9993  9 Au 2.85-3.17, 3 Y 3.17
Au 0.3331 0.3331 0.0007  9 Au 2.85-3.17, 3 Y 3.17
Au 0.5000 0.5000 0.5000  6 Au 2.77
Au 0.4128 0.4128 0.2571  7 Au 2.72-2.88
Au 0.9173 0.4128 0.2571  7 Au 2.72-2.88
Au 0.4128 0.9173 0.2571  7 Au 2.72-2.88
Au 0.5872 0.5872 0.7429  7 Au 2.72-2.88
Au 0.5872 0.0827 0.7429  7 Au 2.72-2.88
Au 0.0827 0.5872 0.7429  7 Au 2.72-2.88

## Properties
- ΔE_f: -0.1505 eV per atom
- Calculated volume: 20.217 Å³ per atom
- E_tot: -0.2662 Ry/atom


(2)
Tb3TmGa2 after structural relaxation, computed with PBE.

Cell lengths 5.0227, 9.1068, 8.8710 Å; angles 124.08, 90.00, 106.01 degrees
With the nearest neighbours (Å) after each atom.
Fractional coordinates of all 12 atoms:
Tb 0.3125 0.6249 0.6229  2 Ga 2.90-3.04, 2 Tb 3.21
Tb 0.9391 0.8783 0.5959  3 Ga 3.23-3.25, 5 Tb 3.41-3.52, 1 Tm 3.49
Tb 0.6241 0.2483 0.7365  4 Ga 2.84-3.06
Tb 0.3759 0.7517 0.2635  4 Ga 2.84-3.06
Tb 0.0609 0.1217 0.4041  3 Ga 3.23-3.25, 5 Tb 3.41-3.52, 1 Tm 3.49
Tb 0.6875 0.3751 0.3771  2 Ga 2.90-3.04, 2 Tb 3.21
Tm 0.8719 0.7439 0.9352  5 Ga 3.02-3.33
Tm 0.1281 0.2561 0.0648  5 Ga 3.02-3.33
Ga 0.5158 0.0315 0.8809  1 Ga 2.48
Ga 0.4842 0.9685 0.1191  1 Ga 2.48
Ga 0.7713 0.5426 0.1579  5 Tb 2.92-3.23
Ga 0.2287 0.4574 0.8421  5 Tb 2.92-3.23

## Properties
- ΔE_f: -0.3117 eV per atom
- Calculated volume: 26.408 Å³ per atom
- E_tot: -0.3220 Ry/atom
- Energy relative to the lowest polymorph listed for this composition: 0.114 eV per atom


(3)
La2Zn15Hg2 after structural relaxation, computed with PBE.

Cell lengths 7.0046, 7.0046, 7.0046 Å; angles 82.96, 82.96, 82.96 degrees
With the nearest neighbours (Å) after each atom.
Fractional coordinates of all 19 atoms:
La 0.3408 0.3408 0.3408  1 Hg 3.17, 15 Zn 3.25-3.55
La 0.6592 0.6592 0.6592  1 Hg 3.17, 15 Zn 3.25-3.55
Zn 0.0000 0.5000 0.0000  8 Zn 2.66-2.74, 2 Hg 2.80
Zn 0.0000 0.0000 0.5000  8 Zn 2.66-2.74, 2 Hg 2.80
Zn 0.5000 0.0000 0.0000  8 Zn 2.66-2.74, 2 Hg 2.80
Zn 0.7019 0.0000 0.2981  8 Zn 2.66-2.82
Zn 0.2981 0.7019 0.0000  8 Zn 2.66-2.82
Zn 0.0000 0.2981 0.7019  8 Zn 2.66-2.82
Zn 0.7019 0.2981 0.0000  8 Zn 2.66-2.82
Zn 0.0000 0.7019 0.2981  8 Zn 2.66-2.82
Zn 0.2981 0.0000 0.7019  8 Zn 2.66-2.82
Zn 0.6476 0.1681 0.6476  8 Zn 2.59-2.82
Zn 0.6476 0.6476 0.1681  8 Zn 2.59-2.82
Zn 0.1681 0.6476 0.6476  8 Zn 2.59-2.82
Zn 0.3524 0.8319 0.3524  8 Zn 2.59-2.82
Zn 0.3524 0.3524 0.8319  8 Zn 2.59-2.82
Zn 0.8319 0.3524 0.3524  8 Zn 2.59-2.82
Hg 0.1067 0.1067 0.1067  12 Zn 2.80-3.12, 1 Hg 2.89
Hg 0.8933 0.8933 0.8933  12 Zn 2.80-3.12, 1 Hg 2.89

## Properties
- ΔE_f: -0.2313 eV per atom
- Calculated volume: 17.709 Å³ per atom
- E_tot: -0.1314 Ry/atom


(4)
CaFeRu2 after structural relaxation, computed with PBE.

Cell lengths 5.3109, 5.3109, 2.7245 Å; angles 77.67, 77.67, 116.31 degrees
With the nearest neighbours (Å) after each atom.
Fractional coordinates of all 4 atoms:
Ru 0.0000 0.0000 0.0000  2 Fe 2.71, 2 Ca 2.71, 6 Ru 2.72-3.02
Ru 0.5000 0.5000 0.0000  2 Ca 2.71, 2 Fe 2.71, 6 Ru 2.72-3.02
Ca 0.5000 0.0000 0.5000  4 Ru 2.71, 2 Ca 2.72, 4 Fe 2.80-3.02
Fe 0.0000 0.5000 0.5000  4 Ru 2.71, 2 Fe 2.72, 4 Ca 2.80-3.02

## Properties
- ΔE_f: 0.5235 eV per atom
- Calculated volume: 15.748 Å³ per atom
- E_tot: -0.4947 Ry/atom